The following is a PBE-GGA calculation of MnNiMo2H after structural relaxation, from Alexandria via LeMat-Bulk.

Results
- DOS(E_F) (states/eV per atom) = 0.580
- energy above the most stable polymorph in this dataset (meV/atom) = 0
- electronic total energy (eV per cell) = -39.63

```
data_MnNiMo2H
_symmetry_space_group_name_H-M 'P 1'
_symmetry_Int_Tables_number 1
_cell_length_a 3.9005
_cell_length_b 3.9005
_cell_length_c 3.6920
_cell_angle_alpha 90.00
_cell_angle_beta 90.00
_cell_angle_gamma 90.00
loop_
_symmetry_equiv_pos_as_xyz
'x,y,z'
loop_
_atom_site_label
_atom_site_fract_x
_atom_site_fract_y
_atom_site_fract_z
_atom_site_occupancy
H1 0.0000 0.0000 0.0000 1
Mo1 0.5000 0.0000 0.0000 1
Mo2 0.0000 0.5000 0.0000 1
Ni1 0.5000 0.5000 0.5000 1
Mn1 0.0000 0.0000 0.5000 1
```